Record 1
Below is a geometry-optimized Ac2CeAg structure, with properties calculated at the PBE level.

Values from the calculation:
Formation enthalpy at 0 K, eV per atom: -0.021
Electronic total energy, eV for the cell shown: -17.1
Mass density, g/cm³: 8.5
Crystal system: tetragonal

a b c (Å): 3.905 3.905 8.993
angles (deg): 90.00 90.00 90.00
Fractional coordinates of all 4 atoms:
1 Ac 0.000 0.000 0.222
2 Ac 0.000 0.000 0.778
3 Ce 0.500 0.500 0.500
4 Ag 0.500 0.500 0.000



Record 2
Below is a geometry-optimized Li2AgP structure, with properties calculated at the PBE level.

Values from the calculation:
Formation enthalpy at 0 K, eV per atom: -0.161
Electronic total energy, eV for the cell shown: -12.7
Mass density, g/cm³: 3.9
Crystal system: hexagonal

a b c (Å): 2.854 2.854 9.103
angles (deg): 90.00 90.00 120.00
Fractional coordinates of all 4 atoms:
1 Li 0.000 0.000 0.208
2 Li 0.000 0.000 0.792
3 Ag 0.000 0.000 0.500
4 P 0.333 0.667 0.000



Record 3
Below is a geometry-optimized LiYSn structure, with properties calculated at the PBE level.

Values from the calculation:
Formation enthalpy at 0 K, eV per atom: -0.547
Electronic total energy, eV for the cell shown: -28.0
Mass density, g/cm³: 4.8
Crystal system: orthorhombic

a b c (Å): 8.610 8.610 8.610
angles (deg): 152.22 149.82 41.48
Fractional coordinates of all 6 atoms:
1 Li 0.000 0.000 0.000
2 Li 0.500 0.500 0.000
3 Y 0.327 0.827 0.500
4 Y 0.673 0.173 0.500
5 Sn 0.128 0.628 0.500
6 Sn 0.872 0.372 0.500



Record 4
Below is a geometry-optimized NpPaIrRu structure, with properties calculated at the PBE level.

Values from the calculation:
Formation enthalpy at 0 K, eV per atom: -0.310
Electronic total energy, eV for the cell shown: -41.8
Mass density, g/cm³: 15.8
Crystal system: cubic

a b c (Å): 4.837 4.837 4.837
angles (deg): 60.00 60.00 60.00
Fractional coordinates of all 4 atoms:
1 Np 0.000 0.000 0.000
2 Pa 0.500 0.500 0.500
3 Ir 0.250 0.250 0.250
4 Ru 0.750 0.750 0.750



Record 5
Below is a geometry-optimized Rb2ScTiS4 structure, with properties calculated at the PBE level.

Values from the calculation:
Formation energy from raw total energies, eV/atom: -1.392
Electronic total energy, eV for the cell shown: -43.8
Mass density, g/cm³: 2.6
Crystal system: tetragonal

a b c (Å): 6.997 6.997 6.997
angles (deg): 117.80 117.80 93.86
Fractional coordinates of all 8 atoms:
1 Rb 0.000 0.000 0.000
2 Rb 0.750 0.250 0.500
3 Sc 0.500 0.500 0.000
4 Ti 0.250 0.750 0.500
5 S 0.231 0.115 0.600
6 S 0.369 0.769 0.885
7 S 0.515 0.631 0.400
8 S 0.885 0.485 0.115



Record 6
Below is a geometry-optimized MnSi2Pb structure, with properties calculated at the PBE level.

Values from the calculation:
Formation energy from raw total energies, eV/atom: 0.288
Electronic total energy, eV for the cell shown: -22.6
Mass density, g/cm³: 7.3
Crystal system: tetragonal

a b c (Å): 3.103 3.103 7.482
angles (deg): 90.00 90.00 90.00
Fractional coordinates of all 4 atoms:
1 Mn 0.000 0.000 0.000
2 Si 0.000 0.000 0.686
3 Si 0.500 0.500 0.879
4 Pb 0.500 0.500 0.291



Record 7
Below is a geometry-optimized CsNaMg2 structure, with properties calculated at the PBE level.

Values from the calculation:
Formation enthalpy at 0 K, eV per atom: 0.313
Electronic total energy, eV for the cell shown: -8.2
Mass density, g/cm³: 1.6
Crystal system: tetragonal

a b c (Å): 12.680 12.680 12.680
angles (deg): 153.08 153.08 38.44
Fractional coordinates of all 8 atoms:
1 Cs 0.375 0.625 0.750
2 Cs 0.625 0.375 0.250
3 Na 0.125 0.875 0.250
4 Na 0.875 0.125 0.750
5 Mg 0.000 0.000 0.000
6 Mg 0.000 0.000 0.500
7 Mg 0.000 0.500 0.000
8 Mg 0.500 0.000 0.500



Record 8
Below is a geometry-optimized K2MgRh2O6 structure, with properties calculated at the PBE level.

Values from the calculation:
Formation energy from raw total energies, eV/atom: -1.339
Electronic total energy, eV for the cell shown: -63.0
Mass density, g/cm³: 4.4
Crystal system: monoclinic

a b c (Å): 5.390 5.390 6.398
angles (deg): 97.80 97.80 120.50
Fractional coordinates of all 11 atoms:
1 K 0.165 0.835 0.000
2 K 0.835 0.165 0.000
3 Mg 0.000 0.000 0.500
4 Rh 0.335 0.665 0.500
5 Rh 0.665 0.335 0.500
6 O 0.053 0.399 0.668
7 O 0.289 0.289 0.330
8 O 0.399 0.053 0.668
9 O 0.601 0.947 0.332
10 O 0.711 0.711 0.670
11 O 0.947 0.601 0.332



Record 9
Below is a geometry-optimized GeSF2 structure, with properties calculated at the PBE level.

Values from the calculation:
Formation energy from raw total energies, eV/atom: -0.434
Electronic total energy, eV for the cell shown: -14.2
Mass density, g/cm³: 4.1
Crystal system: cubic

a b c (Å): 4.333 4.333 4.333
angles (deg): 60.00 60.00 60.00
Fractional coordinates of all 4 atoms:
1 Ge 0.000 0.000 0.000
2 S 0.500 0.500 0.500
3 F 0.250 0.250 0.250
4 F 0.750 0.750 0.750



Record 10
Below is a geometry-optimized CsNaHg2Au structure, with properties calculated at the PBE level.

Values from the calculation:
Formation enthalpy at 0 K, eV per atom: -0.198
Electronic total energy, eV for the cell shown: -7.0
Mass density, g/cm³: 7.1
Crystal system: tetragonal

a b c (Å): 5.541 5.541 5.714
angles (deg): 90.00 90.00 90.00
Fractional coordinates of all 5 atoms:
1 Cs 0.000 0.000 0.000
2 Na 0.500 0.500 0.000
3 Hg 0.000 0.500 0.500
4 Hg 0.500 0.000 0.500
5 Au 0.500 0.500 0.500



Record 11
Below is a geometry-optimized Ba8HAu2 structure, with properties calculated at the PBE level.

Values from the calculation:
Electronic total energy, eV for the cell shown: -27.6
Mass density, g/cm³: 4.3
Crystal system: trigonal

a b c (Å): 9.801 9.801 6.857
angles (deg): 90.00 90.00 120.00
Fractional coordinates of all 11 atoms:
1 Ba 0.148 0.295 0.255
2 Ba 0.148 0.852 0.255
3 Ba 0.295 0.148 0.745
4 Ba 0.333 0.667 0.750
5 Ba 0.667 0.333 0.250
6 Ba 0.705 0.852 0.255
7 Ba 0.852 0.148 0.745
8 Ba 0.852 0.705 0.745
9 H 0.000 0.000 0.500
10 Au 0.333 0.667 0.245
11 Au 0.667 0.333 0.755



Record 12
Below is a geometry-optimized Tl2TeBr structure, with properties calculated at the PBE level.

Values from the calculation:
Formation energy from raw total energies, eV/atom: -0.368
Electronic total energy, eV for the cell shown: -11.0
Mass density, g/cm³: 7.0
Crystal system: tetragonal

a b c (Å): 7.960 7.960 7.960
angles (deg): 147.29 147.29 46.93
Fractional coordinates of all 4 atoms:
1 Tl 0.000 0.000 0.000
2 Tl 0.750 0.250 0.500
3 Te 0.500 0.500 0.000
4 Br 0.250 0.750 0.500